1.
Density functional theory data (PBE) for an optimized crystal structure of Pr4SbAsS2.

**Volume**: 27.713 Å³/atom
**Total DFT energy (no corrections)**: -0.4545 Ry/atom
**Density**: 6.2 g/cm3

a = 7.369 Å, b = 4.287 Å, c = 7.452 Å
α = 90.00°, β = 109.63°, γ = 90.00°
Positions (direct):
Pr 0.234 0.000 0.234
Pr 0.243 0.500 0.757
Pr 0.757 0.500 0.243
Pr 0.766 0.000 0.766
Sb 0.500 0.500 0.500
As 0.500 0.000 0.000
S 0.000 0.000 0.500
S 0.000 0.500 0.000

***

2.
Density functional theory data (PBE) for an optimized crystal structure of Pr6SbAs3S2.

**Volume**: 28.011 Å³/atom
**Total DFT energy (no corrections)**: -0.4561 Ry/atom
**Density**: 6.2 g/cm3

a = 9.597 Å, b = 9.597 Å, c = 8.590 Å
α = 102.96°, β = 102.96°, γ = 25.88°
Positions (direct):
Pr 0.002 0.002 0.263
Pr 0.328 0.328 0.914
Pr 0.333 0.333 0.416
Pr 0.667 0.667 0.584
Pr 0.672 0.672 0.086
Pr 0.998 0.998 0.737
Sb 0.500 0.500 0.000
As 0.165 0.165 0.831
As 0.500 0.500 0.500
As 0.835 0.835 0.169
S 0.169 0.169 0.337
S 0.831 0.831 0.663

***

3.
Density functional theory data (PBE) for an optimized crystal structure of Pr6SbAs2S3.

**Volume**: 27.303 Å³/atom
**Total DFT energy (no corrections)**: -0.4591 Ry/atom
**Density**: 6.1 g/cm3

a = 9.511 Å, b = 9.511 Å, c = 8.502 Å
α = 102.53°, β = 102.53°, γ = 25.91°
Positions (direct):
Pr 0.000 0.000 0.234
Pr 0.000 0.000 0.766
Pr 0.327 0.327 0.412
Pr 0.333 0.333 0.917
Pr 0.667 0.667 0.083
Pr 0.673 0.673 0.588
Sb 0.500 0.500 0.500
As 0.167 0.167 0.834
As 0.833 0.833 0.166
S 0.165 0.165 0.332
S 0.500 0.500 0.000
S 0.835 0.835 0.668

***

4.
Density functional theory data (PBE) for an optimized crystal structure of Pr8AsSe4S3.

**Volume**: 26.523 Å³/atom
**Total DFT energy (no corrections)**: -0.4566 Ry/atom
**Density**: 6.3 g/cm3

a = 8.479 Å, b = 8.479 Å, c = 8.479 Å
α = 59.31°, β = 59.31°, γ = 59.31°
Positions (direct):
Pr 0.239 0.746 0.746
Pr 0.242 0.242 0.242
Pr 0.254 0.254 0.761
Pr 0.254 0.761 0.254
Pr 0.746 0.239 0.746
Pr 0.746 0.746 0.239
Pr 0.758 0.758 0.758
Pr 0.761 0.254 0.254
As 0.500 0.500 0.500
Se 0.000 0.000 0.000
Se 0.000 0.500 0.500
Se 0.500 0.000 0.500
Se 0.500 0.500 0.000
S 0.000 0.000 0.500
S 0.000 0.500 0.000
S 0.500 0.000 0.000

***

5.
Density functional theory data (PBE) for an optimized crystal structure of Pr6As3SeS2.

**Volume**: 26.969 Å³/atom
**Total DFT energy (no corrections)**: -0.4628 Ry/atom
**Density**: 6.2 g/cm3

a = 9.483 Å, b = 9.483 Å, c = 8.466 Å
α = 102.80°, β = 102.80°, γ = 25.88°
Positions (direct):
Pr 0.001 0.001 0.257
Pr 0.330 0.330 0.914
Pr 0.333 0.333 0.417
Pr 0.667 0.667 0.583
Pr 0.670 0.670 0.086
Pr 0.999 0.999 0.743
As 0.166 0.166 0.833
As 0.500 0.500 0.500
As 0.834 0.834 0.167
Se 0.500 0.500 0.000
S 0.167 0.167 0.333
S 0.833 0.833 0.667

***

6.
Density functional theory data (PBE) for an optimized crystal structure of Pr8As4Se3S.

**Volume**: 27.612 Å³/atom
**Total DFT energy (no corrections)**: -0.4561 Ry/atom
**Density**: 6.4 g/cm3

a = 8.556 Å, b = 8.556 Å, c = 8.556 Å
α = 59.89°, β = 59.89°, γ = 59.89°
Positions (direct):
Pr 0.244 0.750 0.750
Pr 0.247 0.247 0.247
Pr 0.250 0.250 0.756
Pr 0.250 0.756 0.250
Pr 0.750 0.244 0.750
Pr 0.750 0.750 0.244
Pr 0.753 0.753 0.753
Pr 0.756 0.250 0.250
As 0.000 0.000 0.500
As 0.000 0.500 0.000
As 0.500 0.000 0.000
As 0.500 0.500 0.500
Se 0.000 0.500 0.500
Se 0.500 0.000 0.500
Se 0.500 0.500 0.000
S 0.000 0.000 0.000

***

7.
Density functional theory data (PBE) for an optimized crystal structure of Pr4AsSe2S.

**Volume**: 26.995 Å³/atom
**Total DFT energy (no corrections)**: -0.4552 Ry/atom
**Density**: 6.4 g/cm3

a = 7.302 Å, b = 4.222 Å, c = 7.416 Å
α = 90.00°, β = 109.17°, γ = 90.00°
Positions (direct):
Pr 0.241 0.000 0.233
Pr 0.251 0.500 0.764
Pr 0.749 0.500 0.236
Pr 0.759 0.000 0.767
As 0.500 0.000 0.000
Se 0.000 0.000 0.500
Se 0.500 0.500 0.500
S 0.000 0.500 0.000

***

8.
Density functional theory data (PBE) for an optimized crystal structure of Pr8As3SeS4.

**Volume**: 26.313 Å³/atom
**Total DFT energy (no corrections)**: -0.4661 Ry/atom
**Density**: 6.1 g/cm3

a = 8.392 Å, b = 8.392 Å, c = 8.392 Å
α = 60.33°, β = 60.33°, γ = 60.33°
Positions (direct):
Pr 0.249 0.249 0.249
Pr 0.254 0.745 0.745
Pr 0.255 0.255 0.746
Pr 0.255 0.746 0.255
Pr 0.745 0.254 0.745
Pr 0.745 0.745 0.254
Pr 0.746 0.255 0.255
Pr 0.751 0.751 0.751
As 0.000 0.500 0.500
As 0.500 0.000 0.500
As 0.500 0.500 0.000
Se 0.000 0.000 0.000
S 0.000 0.000 0.500
S 0.000 0.500 0.000
S 0.500 0.000 0.000
S 0.500 0.500 0.500

***

9.
Density functional theory data (PBE) for an optimized crystal structure of Pr6As3Se2S.

**Volume**: 27.482 Å³/atom
**Total DFT energy (no corrections)**: -0.4575 Ry/atom
**Density**: 6.3 g/cm3

a = 9.549 Å, b = 9.549 Å, c = 8.531 Å
α = 103.01°, β = 103.01°, γ = 25.83°
Positions (direct):
Pr 0.003 0.003 0.252
Pr 0.334 0.334 0.424
Pr 0.336 0.336 0.911
Pr 0.664 0.664 0.089
Pr 0.666 0.666 0.576
Pr 0.997 0.997 0.748
As 0.168 0.168 0.334
As 0.500 0.500 0.000
As 0.832 0.832 0.666
Se 0.166 0.166 0.833
Se 0.834 0.834 0.167
S 0.500 0.500 0.500

***

10.
Density functional theory data (PBE) for an optimized crystal structure of Pr6Si2AsS3.

**Volume**: 26.689 Å³/atom
**Total DFT energy (no corrections)**: -0.4567 Ry/atom
**Density**: 5.6 g/cm3

a = 9.438 Å, b = 9.438 Å, c = 8.450 Å
α = 102.64°, β = 102.64°, γ = 25.89°
Positions (direct):
Pr 0.002 0.002 0.252
Pr 0.333 0.333 0.417
Pr 0.333 0.333 0.914
Pr 0.667 0.667 0.086
Pr 0.667 0.667 0.583
Pr 0.998 0.998 0.748
Si 0.167 0.167 0.333
Si 0.833 0.833 0.667
As 0.500 0.500 0.000
S 0.166 0.166 0.834
S 0.500 0.500 0.500
S 0.834 0.834 0.166

***

11.
Density functional theory data (PBE) for an optimized crystal structure of Pr4SiAsS2.

**Volume**: 26.644 Å³/atom
**Total DFT energy (no corrections)**: -0.4603 Ry/atom
**Density**: 5.7 g/cm3

a = 7.293 Å, b = 4.229 Å, c = 7.332 Å
α = 90.00°, β = 109.51°, γ = 90.00°
Positions (direct):
Pr 0.249 0.000 0.248
Pr 0.249 0.500 0.753
Pr 0.751 0.000 0.752
Pr 0.751 0.500 0.247
Si 0.000 0.500 0.000
As 0.000 0.000 0.500
S 0.500 0.000 0.000
S 0.500 0.500 0.500

***

12.
Density functional theory data (PBE) for an optimized crystal structure of Pr4SiAs2S.

**Volume**: 27.403 Å³/atom
**Total DFT energy (no corrections)**: -0.4537 Ry/atom
**Density**: 5.9 g/cm3

a = 7.388 Å, b = 4.254 Å, c = 7.395 Å
α = 90.00°, β = 109.41°, γ = 90.00°
Positions (direct):
Pr 0.248 0.000 0.250
Pr 0.249 0.500 0.752
Pr 0.751 0.500 0.248
Pr 0.752 0.000 0.750
Si 0.000 0.500 0.000
As 0.500 0.000 0.000
As 0.500 0.500 0.500
S 0.000 0.000 0.500